# 1
The following is a PBE calculation of a relaxed structure of Zn2MoIr, from the Alexandria database.

Unit cell a=5.6050 b=5.6050 c=5.6050 alpha=102.23 beta=102.23 gamma=125.19
Element x y z (fractional)
Zn 0.1140 0.6250 0.9890
Zn 0.3750 0.3640 0.4890
Zn 0.6360 0.1250 0.0110
Zn 0.8750 0.8860 0.5110
Mo 0.2500 0.7500 0.5000
Mo 0.5000 0.5000 0.0000
Ir 0.0000 0.0000 0.0000
Ir 0.7500 0.2500 0.5000

Computed properties:
DFT formation energy (meV/atom): 496.9
Raw total energy (eV/cell): -40.50
Total magnetic moment (μB/cell): 0.00
SG: I-42d (122)
Distance to the lowest polymorph of the same formula (meV/atom): 650


# 2
The following is a PBE calculation of a relaxed structure of ZnMoIr2, from the Alexandria database.

Unit cell a=4.8092 b=4.8092 c=4.7010 alpha=99.31 beta=99.31 gamma=33.61
Element x y z (fractional)
Zn 0.0000 0.0000 0.0000
Mo 0.2346 0.2346 0.6973
Ir 0.4869 0.4869 0.5015
Ir 0.7502 0.7502 0.1947

Computed properties:
DFT formation energy (meV/atom): -128.3
Raw total energy (eV/cell): -30.34
Total magnetic moment (μB/cell): 0.00
SG: Cm (8)